Material: Ac3Nd2YS6
Method: DFT, PBE-GGA
State: optimized geometry

Cell lengths 7.181, 7.181, 7.262 Å; angles 99.52, 99.52, 120.10 degrees
Fractional positions:
Ac 0.000 0.000 0.000
Ac 0.330 0.670 0.000
Ac 0.670 0.330 0.000
Nd 0.167 0.833 0.500
Nd 0.833 0.167 0.500
Y 0.500 0.500 0.500
S 0.099 0.424 0.271
S 0.253 0.253 0.732
S 0.424 0.099 0.271
S 0.576 0.901 0.729
S 0.747 0.747 0.268
S 0.901 0.576 0.729

Values from the calculation:
The final energy comes out at -77.1 eV for the cell shown. As for the calculated volume: 25.481 Å³/atom. Its density of states at the Fermi level is 0.47 states/eV/atom. The calculation puts the magnetization at 0.00 μB per cell. The density comes out at 6.8 g cm⁻³. As for the space group: C2/m (12). For the formation energy (no corrections), the calculation gives -2.00 eV per atom.